(1)
This record from the Alexandria database describes CeHo5Ru4 after structural relaxation. The functional is PBE.

The calculation puts the formation enthalpy at 0 K at -18.9 kJ per mole of atoms. Its energy is -67.9 eV/f.u. The total magnetization is 0.00 μB/atom. As for the mass density: 9.45 g cm⁻³.

The structure in CIF format:
```
data_CeHo5Ru4
_cell_length_a 17.8741
_cell_length_b 3.4959
_cell_length_c 8.2674
_cell_angle_alpha 90.00
_cell_angle_beta 111.43
_cell_angle_gamma 90.00
_symmetry_space_group_name_H-M 'C 1 2/m 1'
_symmetry_Int_Tables_number 12
loop_
_symmetry_equiv_pos_as_xyz
'x,y,z'
'-x,-y,-z'
'-x,y,-z'
'x,-y,z'
'x+1/2,y+1/2,z'
'-x+1/2,-y+1/2,-z'
'-x+1/2,y+1/2,-z'
'x+1/2,-y+1/2,z'
loop_
_atom_site_label
_atom_site_fract_x
_atom_site_fract_y
_atom_site_fract_z
_atom_site_occupancy
Ce1 0.0000 0.0000 0.0000 1
Ho1 0.0000 0.0000 0.5000 1
Ho2 0.1561 0.5000 0.3263 1
Ho3 0.1868 0.5000 0.8044 1
Ru1 0.0243 0.5000 0.7775 1
Ru2 0.1487 0.0000 0.0425 1
```

---

(2)
This record from the Alexandria database describes CeHo3Ru3 after structural relaxation. The functional is PBE.

The calculation puts the formation enthalpy at 0 K at -41.0 kJ per mole of atoms. Its energy is -50.5 eV/f.u. The total magnetization is 0.00 μB/atom. As for the mass density: 10.19 g cm⁻³.

The structure in CIF format:
```
data_CeHo3Ru3
_cell_length_a 9.4221
_cell_length_b 9.4221
_cell_length_c 5.9668
_cell_angle_alpha 90.00
_cell_angle_beta 90.00
_cell_angle_gamma 120.00
_symmetry_space_group_name_H-M 'R 3 m'
_symmetry_Int_Tables_number 160
_symmetry_space_group_name_Hall 'R 3 -2"'
loop_
_atom_site_label
_atom_site_fract_x
_atom_site_fract_y
_atom_site_fract_z
_atom_site_occupancy
Ce1 0.0000 0.0000 0.0000 1
Ho1 0.0609 0.5304 0.1263 1
Ru1 0.0169 0.5085 0.6046 1
```

---

(3)
This record from the Alexandria database describes CeHo3Ru4 after structural relaxation. The functional is PBE.

The calculation puts the formation enthalpy at 0 K at -38.3 kJ per mole of atoms. Its energy is -59.9 eV/f.u. The total magnetization is 0.00 μB/atom. As for the mass density: 10.99 g cm⁻³.

The structure in CIF format:
```
data_CeHo3Ru4
_cell_length_a 6.7961
_cell_length_b 6.7961
_cell_length_c 6.7961
_cell_angle_alpha 90.00
_cell_angle_beta 90.00
_cell_angle_gamma 90.00
_symmetry_space_group_name_H-M 'I m -3 m'
_symmetry_Int_Tables_number 229
_symmetry_space_group_name_Hall '-I 4 2 3'
loop_
_atom_site_label
_atom_site_fract_x
_atom_site_fract_y
_atom_site_fract_z
_atom_site_occupancy
Ce1 0.0000 0.0000 0.0000 1
Ho1 0.0000 0.0000 0.5000 1
Ru1 0.2500 0.2500 0.2500 1
```

---

(4)
This record from the Alexandria database describes CeHoRu after structural relaxation. The functional is PBE.

The calculation puts the formation enthalpy at 0 K at -24.6 kJ per mole of atoms. Its energy is -20.6 eV/f.u. The total magnetization is 0.25 μB/atom. As for the mass density: 9.04 g cm⁻³.

The structure in CIF format:
```
data_CeHoRu
_cell_length_a 3.3712
_cell_length_b 3.3712
_cell_length_c 13.1220
_cell_angle_alpha 90.00
_cell_angle_beta 90.00
_cell_angle_gamma 90.00
_symmetry_space_group_name_H-M 'I 4 m m'
_symmetry_Int_Tables_number 107
_symmetry_space_group_name_Hall 'I 4 -2'
loop_
_atom_site_label
_atom_site_fract_x
_atom_site_fract_y
_atom_site_fract_z
_atom_site_occupancy
Ce1 0.0000 0.0000 0.0000 1
Ho1 0.0000 0.0000 0.7411 1
Ru1 0.0000 0.0000 0.3712 1
```

---

(5)
This record from the Alexandria database describes Ce3Ho2Ru4 after structural relaxation. The functional is PBE.

The calculation puts the formation enthalpy at 0 K at -34.5 kJ per mole of atoms. Its energy is -67.3 eV/f.u. The total magnetization is 0.00 μB/atom. As for the mass density: 9.31 g cm⁻³.

The structure in CIF format:
```
data_Ce3Ho2Ru4
_cell_length_a 11.2974
_cell_length_b 4.2539
_cell_length_c 8.9531
_cell_angle_alpha 90.00
_cell_angle_beta 106.74
_cell_angle_gamma 90.00
_symmetry_space_group_name_H-M 'C 1 2/m 1'
_symmetry_Int_Tables_number 12
loop_
_symmetry_equiv_pos_as_xyz
'x,y,z'
'-x,-y,-z'
'-x,y,-z'
'x,-y,z'
'x+1/2,y+1/2,z'
'-x+1/2,-y+1/2,-z'
'-x+1/2,y+1/2,-z'
'x+1/2,-y+1/2,z'
loop_
_atom_site_label
_atom_site_fract_x
_atom_site_fract_y
_atom_site_fract_z
_atom_site_occupancy
Ce1 0.0000 0.0000 0.0000 1
Ce2 0.1201 0.5000 0.4135 1
Ho1 0.1833 0.5000 0.8238 1
Ru1 0.1203 0.0000 0.5994 1
Ru2 0.1229 0.5000 0.1214 1
```

---

(6)
This record from the Alexandria database describes Ce3HoRu2 after structural relaxation. The functional is PBE.

The calculation puts the formation enthalpy at 0 K at -19.0 kJ per mole of atoms. Its energy is -42.1 eV/f.u. The total magnetization is 0.00 μB/atom. As for the mass density: 9.38 g cm⁻³.

The structure in CIF format:
```
data_Ce3HoRu2
_cell_length_a 13.0014
_cell_length_b 9.1813
_cell_length_c 4.6722
_cell_angle_alpha 90.00
_cell_angle_beta 90.00
_cell_angle_gamma 90.00
_symmetry_space_group_name_H-M 'C m c m'
_symmetry_Int_Tables_number 63
_symmetry_space_group_name_Hall '-C 2c 2'
loop_
_atom_site_label
_atom_site_fract_x
_atom_site_fract_y
_atom_site_fract_z
_atom_site_occupancy
Ce1 0.0000 0.0761 0.2500 1
Ce2 0.2124 0.1341 0.2500 1
Ho1 0.0000 0.3579 0.7500 1
Ru1 0.1431 0.3820 0.2500 1
```

---

(7)
This record from the Alexandria database describes Ce2Ho5Ru4 after structural relaxation. The functional is PBE.

The calculation puts the formation enthalpy at 0 K at -16.4 kJ per mole of atoms. Its energy is -73.7 eV/f.u. The total magnetization is 0.00 μB/atom. As for the mass density: 9.14 g cm⁻³.

The structure in CIF format:
```
data_Ce2Ho5Ru4
_cell_length_a 20.1441
_cell_length_b 3.4265
_cell_length_c 8.0487
_cell_angle_alpha 90.00
_cell_angle_beta 99.12
_cell_angle_gamma 90.00
_symmetry_space_group_name_H-M 'C 1 2/m 1'
_symmetry_Int_Tables_number 12
loop_
_symmetry_equiv_pos_as_xyz
'x,y,z'
'-x,-y,-z'
'-x,y,-z'
'x,-y,z'
'x+1/2,y+1/2,z'
'-x+1/2,-y+1/2,-z'
'-x+1/2,y+1/2,-z'
'x+1/2,-y+1/2,z'
loop_
_atom_site_label
_atom_site_fract_x
_atom_site_fract_y
_atom_site_fract_z
_atom_site_occupancy
Ce1 0.0731 0.0000 0.4155 1
Ho1 0.0000 0.5000 0.0000 1
Ho2 0.1623 0.0000 0.9329 1
Ho3 0.2228 0.5000 0.3271 1
Ru1 0.0373 0.0000 0.7324 1
Ru2 0.1619 0.5000 0.6316 1
```

---

(8)
This record from the Alexandria database describes CeHoRu after structural relaxation. The functional is PBE.

The calculation puts the formation enthalpy at 0 K at -36.0 kJ per mole of atoms. Its energy is -20.9 eV/f.u. The total magnetization is 0.00 μB/atom. As for the mass density: 9.06 g cm⁻³.

The structure in CIF format:
```
data_CeHoRu
_cell_length_a 7.1328
_cell_length_b 5.1126
_cell_length_c 8.1617
_cell_angle_alpha 90.00
_cell_angle_beta 90.00
_cell_angle_gamma 90.00
_symmetry_space_group_name_H-M 'P n m a'
_symmetry_Int_Tables_number 62
loop_
_symmetry_equiv_pos_as_xyz
'x,y,z'
'-x,-y,-z'
'-x+1/2,-y,z+1/2'
'x+1/2,y,-z+1/2'
'x+1/2,-y+1/2,-z+1/2'
'-x+1/2,y+1/2,z+1/2'
'-x,y+1/2,-z'
'x,-y+1/2,z'
loop_
_atom_site_label
_atom_site_fract_x
_atom_site_fract_y
_atom_site_fract_z
_atom_site_occupancy
Ce1 0.0291 0.2500 0.1671 1
Ho1 0.1357 0.2500 0.5956 1
Ru1 0.2318 0.2500 0.9470 1
```

---

(9)
This record from the Alexandria database describes CeHo4Ru2 after structural relaxation. The functional is PBE.

The calculation puts the formation enthalpy at 0 K at -23.2 kJ per mole of atoms. Its energy is -44.5 eV/f.u. The total magnetization is 0.07 μB/atom. As for the mass density: 9.12 g cm⁻³.

The structure in CIF format:
```
data_CeHo4Ru2
_cell_length_a 7.6557
_cell_length_b 6.4004
_cell_length_c 8.1873
_cell_angle_alpha 90.00
_cell_angle_beta 114.51
_cell_angle_gamma 90.00
_symmetry_space_group_name_H-M 'P 1 21/m 1'
_symmetry_Int_Tables_number 11
loop_
_symmetry_equiv_pos_as_xyz
'x,y,z'
'-x,-y,-z'
'-x,y+1/2,-z'
'x,-y+1/2,z'
loop_
_atom_site_label
_atom_site_fract_x
_atom_site_fract_y
_atom_site_fract_z
_atom_site_occupancy
Ce1 0.0377 0.2500 0.1824 1
Ho1 0.2465 0.5039 0.5910 1
Ho2 0.3215 0.7500 0.2527 1
Ho3 0.3774 0.2500 0.0086 1
Ru1 0.0154 0.2500 0.7202 1
Ru2 0.3811 0.2500 0.3514 1
```

---

(10)
This record from the Alexandria database describes Ce4Ho3Ru4 after structural relaxation. The functional is PBE.

The calculation puts the formation enthalpy at 0 K at -30.8 kJ per mole of atoms. Its energy is -78.1 eV/f.u. The total magnetization is 0.00 μB/atom. As for the mass density: 9.56 g cm⁻³.

The structure in CIF format:
```
data_Ce4Ho3Ru4
_cell_length_a 3.6225
_cell_length_b 9.5188
_cell_length_c 14.6977
_cell_angle_alpha 90.00
_cell_angle_beta 90.00
_cell_angle_gamma 90.00
_symmetry_space_group_name_H-M 'I m m m'
_symmetry_Int_Tables_number 71
_symmetry_space_group_name_Hall '-I 2 2'
loop_
_atom_site_label
_atom_site_fract_x
_atom_site_fract_y
_atom_site_fract_z
_atom_site_occupancy
Ce1 0.0000 0.1969 0.1634 1
Ho1 0.0000 0.0000 0.3868 1
Ho2 0.0000 0.5000 0.5000 1
Ru1 0.0000 0.2900 0.0000 1
Ru2 0.0000 0.5000 0.2886 1
```

---

(11)
This record from the Alexandria database describes Ce3Ho2Ru2 after structural relaxation. The functional is PBE.

The calculation puts the formation enthalpy at 0 K at -25.4 kJ per mole of atoms. Its energy is -47.4 eV/f.u. The total magnetization is 0.02 μB/atom. As for the mass density: 9.07 g cm⁻³.

The structure in CIF format:
```
data_Ce3Ho2Ru2
_cell_length_a 11.3602
_cell_length_b 3.7903
_cell_length_c 8.6066
_cell_angle_alpha 90.00
_cell_angle_beta 109.72
_cell_angle_gamma 90.00
_symmetry_space_group_name_H-M 'C 1 2/m 1'
_symmetry_Int_Tables_number 12
loop_
_symmetry_equiv_pos_as_xyz
'x,y,z'
'-x,-y,-z'
'-x,y,-z'
'x,-y,z'
'x+1/2,y+1/2,z'
'-x+1/2,-y+1/2,-z'
'-x+1/2,y+1/2,-z'
'x+1/2,-y+1/2,z'
loop_
_atom_site_label
_atom_site_fract_x
_atom_site_fract_y
_atom_site_fract_z
_atom_site_occupancy
Ce1 0.0000 0.0000 0.0000 1
Ce2 0.1235 0.0000 0.4348 1
Ho1 0.1626 0.5000 0.8020 1
Ru1 0.1366 0.5000 0.2040 1
```

---

(12)
This record from the Alexandria database describes CeHo5Ru4 after structural relaxation. The functional is PBE.

The calculation puts the formation enthalpy at 0 K at -32.8 kJ per mole of atoms. Its energy is -69.3 eV/f.u. The total magnetization is 0.00 μB/atom. As for the mass density: 9.77 g cm⁻³.

The structure in CIF format:
```
data_CeHo5Ru4
_cell_length_a 4.8855
_cell_length_b 6.7171
_cell_length_c 7.5267
_cell_angle_alpha 85.11
_cell_angle_beta 71.07
_cell_angle_gamma 89.48
_symmetry_space_group_name_H-M 'P -1'
_symmetry_Int_Tables_number 2
loop_
_symmetry_equiv_pos_as_xyz
'x,y,z'
'-x,-y,-z'
loop_
_atom_site_label
_atom_site_fract_x
_atom_site_fract_y
_atom_site_fract_z
_atom_site_occupancy
Ce1 0.0000 0.0000 0.0000 1
Ho1 0.0000 0.5000 0.0000 1
Ho2 0.3303 0.9882 0.3394 1
Ho3 0.3339 0.4864 0.3328 1
Ru1 0.1530 0.2436 0.6927 1
Ru2 0.4984 0.7560 0.0003 1
```